Entry 1:
## CuNi5Pd12 (PBE)

Data for an optimized crystal structure of CuNi5Pd12. Values from VASP.

Values from the calculation:
- Crystal system: orthorhombic

Geometry as Quantum ESPRESSO input:
```
&SYSTEM
  ibrav = 0, nat = 18, ntyp = 3
/
ATOMIC_SPECIES
Cu 63.55 Cu.upf
Ni 58.69 Ni.upf
Pd 106.42 Pd.upf
CELL_PARAMETERS angstrom
11.089 0.000 0.001
5.545 5.860 0.001
0.000 0.000 3.905
ATOMIC_POSITIONS angstrom
Cu 0.000 0.000 0.000
Ni 5.545 0.000 1.953
Ni 5.545 3.895 1.954
Ni 11.089 1.966 1.954
Ni 11.089 3.910 0.001
Ni 5.545 1.951 3.906
Pd 9.335 0.000 1.954
Pd 1.754 0.000 1.953
Pd 7.288 0.000 0.001
Pd 3.802 0.000 3.906
Pd 7.292 3.901 3.906
Pd 3.797 3.901 0.001
Pd 12.837 1.959 3.907
Pd 9.342 1.960 0.001
Pd 7.289 1.951 1.954
Pd 12.833 3.909 1.955
Pd 3.801 1.951 1.953
Pd 9.346 3.909 1.954
```

***

Entry 2:
## In2SbPb8 (PBE)

Data for an optimized crystal structure of In2SbPb8. Values from VASP.

Values from the calculation:
- Crystal system: monoclinic
- Energy relative to the elements, uncorrected: 0.03 eV per atom

Geometry as Quantum ESPRESSO input:
```
&SYSTEM
  ibrav = 0, nat = 11, ntyp = 3
/
ATOMIC_SPECIES
In 114.82 In.upf
Sb 121.76 Sb.upf
Pb 207.20 Pb.upf
CELL_PARAMETERS angstrom
-1.788 2.981 3.052
-5.696 -5.363 1.901
7.920 -3.299 4.358
ATOMIC_POSITIONS angstrom
In -0.364 -4.219 3.908
In 0.799 -1.462 5.402
Sb -0.894 1.491 1.526
Pb -2.137 -1.289 3.513
Pb 3.833 -1.706 3.912
Pb 0.917 -1.397 1.902
Pb -3.533 -4.068 1.903
Pb -0.482 -4.284 7.409
Pb -3.398 -3.975 5.398
Pb 2.572 -4.392 5.797
Pb 3.968 -1.613 7.407
```

***

Entry 3:
## Pr3Y5Se12 (PBE)

Data for an optimized crystal structure of Pr3Y5Se12. Values from VASP.

Values from the calculation:
- Crystal system: cubic
- Energy relative to the elements, uncorrected: -1.73 eV per atom

Geometry as Quantum ESPRESSO input:
```
&SYSTEM
  ibrav = 0, nat = 80, ntyp = 3
/
ATOMIC_SPECIES
Pr 140.91 Pr.upf
Y 88.91 Y.upf
Se 78.96 Se.upf
CELL_PARAMETERS angstrom
-0.483 -13.879 5.049
11.049 1.323 -9.722
2.233 9.273 11.287
ATOMIC_POSITIONS angstrom
Pr 4.060 -8.754 1.552
Pr 8.144 -9.993 -1.462
Pr 9.502 1.583 1.656
Pr 2.098 0.173 4.280
Pr 1.517 -9.661 6.025
Pr 7.283 -2.060 -1.361
Pr 5.517 -1.224 7.975
Pr 11.283 6.377 0.589
Pr 10.702 -3.456 2.334
Pr 3.298 -4.866 4.958
Pr 4.656 6.709 8.076
Pr 8.739 5.471 5.062
Y 4.641 1.079 -0.193
Y 5.525 0.661 -4.861
Y 0.000 0.000 0.000
Y 2.860 -3.715 0.874
Y 0.875 -2.303 8.168
Y 5.283 -6.278 -2.336
Y 9.064 2.735 -2.428
Y 2.973 -2.130 12.447
Y 7.381 -6.105 1.943
Y 2.875 1.915 9.143
Y 9.925 -5.199 -2.529
Y 6.400 -1.642 3.307
Y -0.241 -6.940 2.525
Y 1.117 4.636 5.643
Y 5.419 2.822 4.671
Y 9.827 -1.153 -5.834
Y 6.641 5.298 0.782
Y 3.736 -6.018 9.042
Y 9.939 0.431 5.740
Y 8.158 -4.363 6.807
Se 1.186 -9.401 2.897
Se 6.806 0.065 1.036
Se 4.257 -10.158 4.371
Se 2.461 -6.085 2.076
Se 9.181 -0.994 3.592
Se 6.377 -10.851 1.113
Se 9.370 0.306 -1.318
Se 10.294 1.244 -6.955
Se 11.766 -0.583 1.284
Se 6.571 -7.600 -0.138
Se 5.467 -6.784 3.704
Se 9.830 -9.819 -4.222
Se 9.117 4.218 -0.188
Se 4.626 -3.748 -1.152
Se 10.910 3.386 -4.270
Se 2.537 -0.096 7.393
Se 2.376 1.013 1.251
Se 7.419 -4.634 -3.322
Se 10.271 -7.663 -1.514
Se 4.644 -0.482 -2.381
Se 12.103 3.349 1.395
Se 7.588 -3.473 1.444
Se 9.899 -6.565 2.764
Se 5.251 -1.959 11.032
Se 5.212 0.189 5.170
Se 2.901 3.281 3.850
Se 7.549 -1.324 -4.418
Se 2.529 4.380 8.128
Se 0.696 -6.632 5.219
Se 8.155 -2.802 8.994
Se 5.380 1.351 9.935
Se 10.263 -3.188 -0.779
Se 10.424 -4.297 5.363
Se 1.890 -6.670 10.883
Se 3.683 -7.502 6.801
Se 2.969 6.536 10.836
Se 8.174 0.465 7.766
Se 1.034 -2.700 5.330
Se 6.229 4.316 6.752
Se 7.332 3.500 2.910
Se 2.506 -4.528 13.569
Se 3.429 -3.590 7.932
Se 10.339 2.802 4.538
Se 6.423 7.568 5.501
Se 3.619 -2.289 3.022
Se 8.543 6.875 2.243
Se 5.994 -3.349 5.578
Se 11.614 6.117 3.716
```

***

no.,uncorrected energy (eV/cell)
1,-95.30
2,-38.99
3,-492.25